## i
Here is NaTlN after structural relaxation from Alexandria. Energies are from PBE.

The space group is C2/m (No. 12) and the conventional cell measures 10.821, 3.667 and 6.139 Å, with angles of 90.00, 98.07 and 90.00 degrees. Symmetry generates all atoms from Na at (0.155, 0.000, 0.371), Tl at (0.124, 0.500, 0.914) and N at (0.211, 0.000, 0.764).

The calculation puts the density of states at the Fermi level at 0.129 states/eV/atom.

## ii
Here is NaTlN after structural relaxation from Alexandria. Energies are from PBE.

The space group is P-1 (No. 2) and the conventional cell measures 3.497, 3.540 and 12.109 Å, with angles of 89.81, 89.81 and 61.85 degrees. Symmetry generates all atoms from Na at (0.165, 0.157, 0.327), Tl at (0.170, 0.191, 0.889) and N at (0.500, 0.499, 0.451).

The calculation puts the density of states at the Fermi level at 0.328 states/eV/atom.

Energetically preferred structure: ii | next structure: +469 meV/atom